No. 1
Below is Lu4Hf2Ge3C3 after structural relaxation, with properties calculated at the PBE-GGA level.

Computed properties:
SG ... C2/c, No. 15
V ... 17.96 Å³/atom
Magnetization ... 0.00 μB/f.u.
Energy ... -176.05 eV per cell

Unit cell a=5.944 b=5.944 c=14.526 alpha=102.14 beta=102.14 gamma=59.98
Positions (direct):
1 Lu 0.039 0.195 0.098
2 Lu 0.127 0.301 0.402
3 Lu 0.195 0.039 0.598
4 Lu 0.301 0.127 0.902
5 Lu 0.699 0.873 0.098
6 Lu 0.805 0.961 0.402
7 Lu 0.873 0.699 0.598
8 Lu 0.961 0.805 0.902
9 Hf 0.355 0.527 0.080
10 Hf 0.473 0.645 0.420
11 Hf 0.527 0.355 0.580
12 Hf 0.645 0.473 0.920
13 Ge 0.143 0.857 0.250
14 Ge 0.312 0.418 0.751
15 Ge 0.418 0.312 0.251
16 Ge 0.582 0.688 0.749
17 Ge 0.688 0.582 0.249
18 Ge 0.857 0.143 0.750
19 C 0.000 0.500 0.000
20 C 0.182 0.659 0.500
21 C 0.341 0.818 0.000
22 C 0.500 0.000 0.500
23 C 0.659 0.182 0.000
24 C 0.818 0.341 0.500

***

No. 2
Below is LiHf3Te5 after structural relaxation, with properties calculated at the PBE-GGA level.

Computed properties:
SG ... P6/mmm, No. 191
V ... 31.79 Å³/atom
Magnetization ... 0.00 μB/f.u.
Energy ... -53.01 eV per cell

Unit cell a=6.280 b=6.280 c=8.375 alpha=90.00 beta=90.00 gamma=120.00
Positions (direct):
1 Li 0.000 0.000 0.000
2 Hf 0.000 0.500 0.500
3 Hf 0.500 0.000 0.500
4 Hf 0.500 0.500 0.500
5 Te 0.000 0.000 0.500
6 Te 0.333 0.667 0.231
7 Te 0.333 0.667 0.769
8 Te 0.667 0.333 0.231
9 Te 0.667 0.333 0.769

***

No. 3
Below is ZnCoAs2 after structural relaxation, with properties calculated at the PBE-GGA level.

Computed properties:
SG ... I-42d, No. 122
V ... 20.46 Å³/atom
Magnetization ... 0.00 μB/f.u.
Energy ... -34.80 eV per cell

Unit cell a=6.718 b=6.718 c=6.718 alpha=132.09 beta=132.09 gamma=70.09
Positions (direct):
1 Zn 0.000 0.000 0.000
2 Zn 0.750 0.250 0.500
3 Co 0.250 0.750 0.500
4 Co 0.500 0.500 0.000
5 As 0.168 0.125 0.543
6 As 0.375 0.832 0.957
7 As 0.582 0.625 0.457
8 As 0.875 0.418 0.043

***

Which formula does entry 2 have? LiHf3Te5

***

Among the records above, which one has the highest energy? ZnCoAs2